Record 1
A plane-wave DFT calculation with PBE was carried out for a geometry-optimized LiTbScTc structure.

SG: F-43m, No. 216
Density of states at the Fermi level in states/eV/cell: 16.8
Electronic total energy in eV per atom: -5.863

Structure (CIF):
```
data_LiTbScTc
_space_group_name_H-M_alt 'P 1'
_space_group_IT_number 1
_cell_length_a 6.792
_cell_length_b 6.792
_cell_length_c 6.792
_cell_angle_alpha 90.00
_cell_angle_beta 90.00
_cell_angle_gamma 90.00
loop_
_space_group_symop_operation_xyz
'x,y,z'
loop_
_atom_site_label
_atom_site_type_symbol
_atom_site_fract_x
_atom_site_fract_y
_atom_site_fract_z
_atom_site_occupancy
Li1 Li 0.000 0.000 0.000 1
Li2 Li 0.000 0.500 0.500 1
Li3 Li 0.500 0.000 0.500 1
Li4 Li 0.500 0.500 0.000 1
Tb1 Tb 0.250 0.250 0.250 1
Tb2 Tb 0.250 0.750 0.750 1
Tb3 Tb 0.750 0.250 0.750 1
Tb4 Tb 0.750 0.750 0.250 1
Sc1 Sc 0.250 0.250 0.750 1
Sc2 Sc 0.250 0.750 0.250 1
Sc3 Sc 0.750 0.250 0.250 1
Sc4 Sc 0.750 0.750 0.750 1
Tc1 Tc 0.000 0.000 0.500 1
Tc2 Tc 0.000 0.500 0.000 1
Tc3 Tc 0.500 0.000 0.000 1
Tc4 Tc 0.500 0.500 0.500 1
```

Record 2
A plane-wave DFT calculation with PBE was carried out for a geometry-optimized LiTbSc2Te4 structure.

SG: P2/m, No. 10
Density of states at the Fermi level in states/eV/cell: 4.1
Electronic total energy in eV per atom: -5.185
Energy relative to the elements, uncorrected in eV/atom: -1.2128

Structure (CIF):
```
data_LiTbSc2Te4
_space_group_name_H-M_alt 'P 1'
_space_group_IT_number 1
_cell_length_a 7.319
_cell_length_b 4.209
_cell_length_c 7.382
_cell_angle_alpha 90.00
_cell_angle_beta 109.02
_cell_angle_gamma 90.00
loop_
_space_group_symop_operation_xyz
'x,y,z'
loop_
_atom_site_label
_atom_site_type_symbol
_atom_site_fract_x
_atom_site_fract_y
_atom_site_fract_z
_atom_site_occupancy
Li1 Li 0.000 0.000 0.000 1
Tb1 Tb 0.500 0.500 0.000 1
Sc1 Sc 0.000 0.500 0.500 1
Sc2 Sc 0.500 0.000 0.500 1
Te1 Te 0.239 0.000 0.740 1
Te2 Te 0.246 0.500 0.256 1
Te3 Te 0.754 0.500 0.744 1
Te4 Te 0.761 0.000 0.260 1
```

Record 3
A plane-wave DFT calculation with PBE was carried out for a geometry-optimized Li2TbSc3Te6 structure.

SG: C2/m, No. 12
Density of states at the Fermi level in states/eV/cell: 4.3
Electronic total energy in eV per atom: -5.069
Energy relative to the elements, uncorrected in eV/atom: -1.2103

Structure (CIF):
```
data_Li2TbSc3Te6
_space_group_name_H-M_alt 'P 1'
_space_group_IT_number 1
_cell_length_a 7.251
_cell_length_b 7.251
_cell_length_c 7.397
_cell_angle_alpha 99.47
_cell_angle_beta 99.47
_cell_angle_gamma 119.98
loop_
_space_group_symop_operation_xyz
'x,y,z'
loop_
_atom_site_label
_atom_site_type_symbol
_atom_site_fract_x
_atom_site_fract_y
_atom_site_fract_z
_atom_site_occupancy
Li1 Li 0.170 0.830 0.000 1
Li2 Li 0.830 0.170 0.000 1
Tb1 Tb 0.500 0.500 0.000 1
Sc1 Sc 0.000 0.000 0.500 1
Sc2 Sc 0.338 0.662 0.500 1
Sc3 Sc 0.662 0.338 0.500 1
Te1 Te 0.073 0.415 0.743 1
Te2 Te 0.241 0.241 0.253 1
Te3 Te 0.415 0.073 0.743 1
Te4 Te 0.585 0.927 0.257 1
Te5 Te 0.759 0.759 0.747 1
Te6 Te 0.927 0.585 0.257 1
```

Record 4
A plane-wave DFT calculation with PBE was carried out for a geometry-optimized Li2TbScTe4 structure.

SG: P2/m, No. 10
Electronic total energy in eV per atom: -4.649
Energy relative to the elements, uncorrected in eV/atom: -1.2290

Structure (CIF):
```
data_Li2TbScTe4
_space_group_name_H-M_alt 'P 1'
_space_group_IT_number 1
_cell_length_a 7.384
_cell_length_b 4.263
_cell_length_c 7.432
_cell_angle_alpha 90.00
_cell_angle_beta 109.24
_cell_angle_gamma 90.00
loop_
_space_group_symop_operation_xyz
'x,y,z'
loop_
_atom_site_label
_atom_site_type_symbol
_atom_site_fract_x
_atom_site_fract_y
_atom_site_fract_z
_atom_site_occupancy
Li1 Li 0.000 0.000 0.000 1
Li2 Li 0.500 0.500 0.000 1
Tb1 Tb 0.000 0.500 0.500 1
Sc1 Sc 0.500 0.000 0.500 1
Te1 Te 0.262 0.000 0.754 1
Te2 Te 0.262 0.500 0.253 1
Te3 Te 0.738 0.000 0.246 1
Te4 Te 0.738 0.500 0.747 1
```